Sr5Ca3 | SCAN | single point on PBEsol structure

Geometry as POSCAR:
```
Sr5Ca3
1.0
11.497 0.000 0.000
0.000 11.544 0.000
0.000 0.000 5.705
Sr Ca
10 6
Direct
0.000 0.000 0.000 Sr
0.245 0.500 0.500 Sr
0.250 0.250 0.000 Sr
0.250 0.750 0.000 Sr
0.255 0.000 0.500 Sr
0.500 0.500 0.000 Sr
0.745 0.000 0.500 Sr
0.750 0.250 0.000 Sr
0.750 0.750 0.000 Sr
0.755 0.500 0.500 Sr
0.000 0.254 0.500 Ca
0.000 0.500 0.000 Ca
0.000 0.746 0.500 Ca
0.500 0.000 0.000 Ca
0.500 0.246 0.500 Ca
0.500 0.754 0.500 Ca
```

Properties
- Energy above the lowest structure with this stoichiometry: 0.00 eV/f.u.
- Formation energy from the elements: 0.018 eV per atom
- Density of states at the Fermi level: 7.12 states/eV/f.u.
- SG: Cmmm (65)